# HfMg2SbP

An optimized crystal structure of HfMg2SbP (PBE, the Alexandria database).

Cell: 4.6537 4.6537 5.7102 Å, 90.00 90.00 90.00°
Space group P4/mmm (No. 123)
Symmetry-distinct sites (fractional):
Hf 0.0000 0.0000 0.0000 [1 per cell]
Mg 0.0000 0.5000 0.5000 [2 per cell]
Sb 0.5000 0.5000 0.0000 [1 per cell]
P 0.5000 0.5000 0.5000 [1 per cell]

---

# Tl2RuBr5

An optimized crystal structure of Tl2RuBr5 (PBE, the Alexandria database).

Cell: 11.9898 7.6503 7.7719 Å, 90.00 129.01 90.00°
Space group Cm (No. 8)
Symmetry-distinct sites (fractional):
Tl 0.0000 0.0000 0.0000 [2 per cell]
Tl 0.0068 0.5000 0.4937 [2 per cell]
Ru 0.2638 0.0000 0.7694 [2 per cell]
Br 0.0172 0.5000 0.0592 [2 per cell]
Br 0.2224 0.2304 0.9511 [4 per cell]
Br 0.2645 0.2297 0.5418 [4 per cell]

---

# GaFeNi3

An optimized crystal structure of GaFeNi3 (PBE, the Alexandria database).

Cell: 4.2717 4.2717 4.2717 Å, 90.00 90.00 90.00°
Space group Pm-3m (No. 221)
Symmetry-distinct sites (fractional):
Ga 0.0000 0.0000 0.0000 [1 per cell]
Fe 0.5000 0.5000 0.5000 [1 per cell]
Ni 0.0000 0.0000 0.5000 [3 per cell]

---

# CdCuTc3

An optimized crystal structure of CdCuTc3 (PBE, the Alexandria database).

Cell: 4.5121 4.5121 4.5121 Å, 90.00 90.00 90.00°
Space group Pm-3m (No. 221)
Symmetry-distinct sites (fractional):
Cd 0.0000 0.0000 0.0000 [1 per cell]
Cu 0.5000 0.5000 0.5000 [1 per cell]
Tc 0.0000 0.5000 0.5000 [3 per cell]

---

# SiRu2Se

An optimized crystal structure of SiRu2Se (PBE, the Alexandria database).

Cell: 6.2093 6.2093 6.2093 Å, 90.00 90.00 90.00°
Space group F-43m (No. 216)
Symmetry-distinct sites (fractional):
Si 0.0000 0.0000 0.0000 [4 per cell]
Ru 0.0000 0.0000 0.5000 [4 per cell]
Ru 0.2500 0.2500 0.7500 [4 per cell]
Se 0.2500 0.2500 0.2500 [4 per cell]

---

# TiNiGe2

An optimized crystal structure of TiNiGe2 (PBE, the Alexandria database).

Cell: 3.9323 3.9323 17.0229 Å, 90.00 90.00 90.00°
Space group I-42d (No. 122)
Symmetry-distinct sites (fractional):
Ti 0.0000 0.0000 0.0000 [4 per cell]
Ni 0.0000 0.0000 0.5000 [4 per cell]
Ge 0.2233 0.2500 0.6250 [8 per cell]

---

In the order shown, the computed total DFT energy (no corrections) values come out to -4.176; -3.260; -4.863; -5.641; -6.323; -5.769 eV/atom.
In the order shown, the computed DOS at the Fermi energy values come out to 1.224; 1.116; 1.902; 1.175; 1.217; 0.823 states/eV/atom.